First-principles (PBE) data for crystalline FeCl2 at its relaxed geometry, as listed in the Open Quantum Materials Database.

The total energy is -0.3467 Ry per atom.

The space group is C2/m (No. 12) and the conventional cell measures 6.0703, 3.5057 and 6.3051 Å, with angles of 90.00, 90.10 and 90.00 degrees. The inequivalent atoms are Fe at (0.0000, 0.0000, 0.0000) and Cl at (0.1667, 0.5000, 0.2215).